Y2Tm2Hg3 | the Alexandria database | PBE | optimized geometry; DOS at the Fermi energy = 7.2 states/eV/cell; energy relative to the elements = -0.33 eV per atom
1.0
4.4494 -2.5754 0.0000
4.4494 2.5754 0.0000
-2.9673 0.0000 8.4566
Y Tm Hg
2 2 3
Cartesian
0.0046 0.0000 3.2124 Y
5.9270 0.0000 5.2442 Y
2.9705 0.0000 1.1154 Tm
2.9611 0.0000 7.3412 Tm
0.0000 0.0000 0.0000 Hg
0.0000 0.0000 6.3144 Hg
5.9315 0.0000 2.1421 Hg

CdTeMo | the Alexandria database | PBE | optimized geometry; formation energy (no corrections) = 58.5 kJ/mol of atoms; DOS at the Fermi energy = 2.7 states/eV/cell
1.0
5.0020 0.0000 0.0000
-2.5010 4.3319 0.0000
0.0000 0.0000 2.8861
Cd Te Mo
1 1 1
Cartesian
0.0000 0.0000 0.0000 Cd
0.0000 2.8879 1.4430 Te
2.5010 1.4440 1.4430 Mo

SrZr2Cr | the Alexandria database | PBE | optimized geometry; DOS at the Fermi energy = 9.6 states/eV/cell; energy relative to the elements = 1.03 eV per atom
1.0
-3.6865 3.6865 5.2290
3.6865 -3.6865 5.2290
3.6865 3.6865 -5.2290
Sr Zr Cr
2 4 2
Cartesian
3.6865 1.8433 1.3073 Sr
0.0000 1.8433 3.9218 Sr
0.0000 0.0000 0.0000 Zr
1.8433 1.8433 -2.6145 Zr
1.8433 -1.8433 2.6145 Zr
0.0000 3.6865 0.0000 Zr
3.6865 -1.8433 3.9218 Cr
0.0000 5.5298 1.3073 Cr

K2Rb3Cd2 | the Alexandria database | PBE | optimized geometry; DOS at the Fermi energy = 3.7 states/eV/cell; energy relative to the elements = 0.00 eV per atom
1.0
4.9326 0.0000 0.0000
2.4502 8.2088 0.0000
0.0165 4.3949 10.1926
K Rb Cd
2 3 2
Cartesian
1.2399 2.8862 3.3712 K
6.1594 9.7176 6.8214 K
3.6873 6.3619 0.6273 Rb
3.6996 6.3019 5.0963 Rb
3.7119 6.2419 9.5653 Rb
1.2423 4.2380 7.2577 Cd
6.1569 8.3657 2.9348 Cd

Tb2InTe6Pb3 | the Alexandria database | PBE | optimized geometry; formation energy (no corrections) = -67.0 kJ/mol of atoms; DOS at the Fermi energy = 4.4 states/eV/cell
1.0
9.9388 -2.2403 0.0000
9.9388 2.2403 0.0000
-2.2072 0.0000 9.1494
Tb In Te Pb
2 1 6 3
Cartesian
2.5799 0.0000 3.1682 Tb
15.0906 0.0000 5.9812 Tb
9.9388 0.0000 0.0000 In
-0.3831 0.0000 2.3587 Te
4.5354 0.0000 8.1194 Te
5.6337 0.0000 3.8267 Te
12.0367 0.0000 5.3226 Te
13.1351 0.0000 1.0300 Te
18.0535 0.0000 6.7907 Te
1.2923 0.0000 7.7455 Pb
8.8352 0.0000 4.5747 Pb
16.3782 0.0000 1.4039 Pb

CuNiAg2 | the Alexandria database | PBE | optimized geometry; DOS at the Fermi energy = 2.5 states/eV/cell; energy relative to the elements = 0.21 eV per atom
1.0
4.4769 -1.3895 0.0000
4.4769 1.3895 0.0000
-0.8457 0.0000 4.7450
Cu Ni Ag
1 1 2
Cartesian
0.0000 0.0000 0.0000 Cu
4.0541 0.0000 2.3725 Ni
1.5906 0.0000 3.5504 Ag
6.5175 0.0000 1.1946 Ag

Li5Cu | the Alexandria database | PBE | optimized geometry; DOS at the Fermi energy = 2.2 states/eV/cell; energy relative to the elements = 0.02 eV per atom
1.0
4.5845 0.0000 0.0000
0.0000 1.3803 7.8349
0.0000 -1.3803 7.8349
Li Cu
5 1
Cartesian
0.0000 0.0000 0.0000 Li
0.0000 0.0000 4.8100 Li
2.2922 0.0000 3.3280 Li
2.2922 0.0000 8.7982 Li
2.2922 0.0000 13.9351 Li
0.0000 0.0000 10.2541 Cu

Cu2SiIr | the Alexandria database | PBE | optimized geometry; formation energy (no corrections) = -16.6 kJ/mol of atoms; DOS at the Fermi energy = 2.3 states/eV/cell
1.0
0.0000 2.9393 2.9393
2.9393 0.0000 2.9393
2.9393 2.9393 0.0000
Cu Si Ir
2 1 1
Cartesian
0.0000 0.0000 0.0000 Cu
1.4697 1.4697 1.4697 Cu
4.4090 4.4090 4.4090 Si
2.9393 2.9393 2.9393 Ir

Among the records above, which one has the lowest DOS at the Fermi energy? Li5Cu